No. 1
DFT (PBE) results for crystalline Sr2HoAg at its relaxed geometry.

Results
M_tot, μB/f.u.: 0.55
Total DFT energy (no corrections), eV per cell: -9.692
ΔH_f (0 K), meV per atom: 275
Space group: R-3m
Mass density, g/cm³: 4.9

The structure in POSCAR format:
```
Sr2HoAg
1.0
1.918 1.108 11.914
-1.918 1.108 11.914
0.000 -2.215 11.914
Sr Ho Ag
2 1 1
Cartesian
0.000 0.000 3.593
0.000 0.000 32.150
0.000 0.000 0.000
0.000 0.000 17.872
```

=====

No. 2
DFT (PBE) results for crystalline SrHoAg2 at its relaxed geometry.

Results
E above lowest polymorph, kJ/mol of formula units: 33
M_tot, μB/f.u.: 0.00
Total DFT energy (no corrections), eV per cell: -12.782
ΔH_f (0 K), meV per atom: -205
Space group: Fm-3m
Mass density, g/cm³: 7.4

The structure in POSCAR format:
```
SrHoAg2
1.0
0.000 3.754 3.754
3.754 0.000 3.754
3.754 3.754 0.000
Sr Ho Ag
1 1 2
Cartesian
0.000 0.000 0.000
3.754 3.754 3.754
1.877 1.877 1.877
5.630 5.630 5.630
```

=====

No. 3
DFT (PBE) results for crystalline SrHo3Ag4 at its relaxed geometry.

Results
M_tot, μB/f.u.: 0.00
Total DFT energy (no corrections), eV per cell: -58.074
ΔH_f (0 K), meV per atom: -277
Space group: Pmma
Mass density, g/cm³: 8.4

The structure in POSCAR format:
```
SrHo3Ag4
1.0
10.436 0.000 0.000
0.000 7.349 0.000
0.000 0.000 5.218
Sr Ho Ag
2 6 8
Cartesian
0.000 0.000 0.000
5.218 0.000 0.000
0.000 3.675 0.000
2.609 0.000 2.607
2.609 3.675 2.605
5.218 3.675 0.000
7.827 0.000 2.612
7.827 3.675 2.613
0.000 1.983 2.609
0.000 5.366 2.609
2.609 1.982 5.212
2.609 5.368 5.212
5.218 1.983 2.609
5.218 5.366 2.609
7.827 1.982 0.006
7.827 5.368 0.006
```